Record 1
## Sm8ZnSi3I4 (PBE)

Data for a relaxed Sm8ZnSi3I4 crystal.

Lattice parameters (Å, degrees): 8.5766 8.5766 22.6437 90.00 90.00 120.00
Space group R-3m (No. 166, hexagonal axes)
Asymmetric unit:
1 Sm 0.0000 0.0000 0.2323
2 Sm 0.0024 0.5012 0.7661
3 Zn 0.0000 0.0000 0.5000
4 Si 0.0000 0.5000 0.5000
5 I 0.0000 0.0000 0.0000
6 I 0.0000 0.5000 0.0000

Formation energy (no corrections), meV/atom: -822.0
Crystal system: trigonal
Final energy, eV/cell: -223.94


Record 2
## SiSn3I (PBE)

Data for a relaxed SiSn3I crystal.

Lattice parameters (Å, degrees): 5.4161 5.4161 5.4161 90.00 90.00 90.00
Space group Pm-3m (No. 221)
Asymmetric unit:
1 Si 0.0000 0.0000 0.0000
2 Sn 0.0000 0.0000 0.5000
3 I 0.5000 0.5000 0.5000

Offset from the most stable computed form, eV per atom: 0.000
Formation energy (no corrections), meV/atom: 439.5
Crystal system: cubic
Final energy, eV/cell: -16.78


Record 3
## SiSn3I (PBE)

Data for a relaxed SiSn3I crystal.

Lattice parameters (Å, degrees): 5.8225 5.8225 5.8225 90.00 90.00 90.00
Space group Pm-3m (No. 221)
Asymmetric unit:
1 Si 0.0000 0.0000 0.0000
2 Sn 0.0000 0.5000 0.5000
3 I 0.5000 0.5000 0.5000

Offset from the most stable computed form, eV per atom: 0.761
Formation energy (no corrections), meV/atom: 1200.8
Crystal system: cubic
Final energy, eV/cell: -12.98


Record 4
## SiSnI3 (PBE)

Data for a relaxed SiSnI3 crystal.

Lattice parameters (Å, degrees): 6.0626 6.0626 6.0626 90.00 90.00 90.00
Space group Pm-3m (No. 221)
Asymmetric unit:
1 Si 0.0000 0.0000 0.0000
2 Sn 0.5000 0.5000 0.5000
3 I 0.0000 0.5000 0.5000

Offset from the most stable computed form, eV per atom: 0.269
Formation energy (no corrections), meV/atom: 458.7
Crystal system: cubic
Final energy, eV/cell: -11.78


Record 5
## Si2SnI (PBE)

Data for a relaxed Si2SnI crystal.

Lattice parameters (Å, degrees): 5.8044 5.8044 15.0015 90.00 90.00 90.00
Space group I-42d (No. 122)
Asymmetric unit:
1 Si 0.2192 0.2500 0.1250
2 Sn 0.0000 0.0000 0.0000
3 I 0.0000 0.0000 0.5000

Offset from the most stable computed form, eV per atom: 0.000
Formation energy (no corrections), meV/atom: 721.3
Crystal system: tetragonal
Final energy, eV/cell: -54.06


Record 6
## SiSnI3 (PBE)

Data for a relaxed SiSnI3 crystal.

Lattice parameters (Å, degrees): 5.6390 5.6390 5.6390 90.00 90.00 90.00
Space group Pm-3m (No. 221)
Asymmetric unit:
1 Si 0.0000 0.0000 0.0000
2 Sn 0.5000 0.5000 0.5000
3 I 0.0000 0.0000 0.5000

Offset from the most stable computed form, eV per atom: 0.000
Formation energy (no corrections), meV/atom: 190.2
Crystal system: cubic
Final energy, eV/cell: -13.13


Record 7
## SiSnI (PBE)

Data for a relaxed SiSnI crystal.

Lattice parameters (Å, degrees): 4.6721 3.8764 10.8683 90.00 93.67 90.00
Space group P2_1/m (No. 11)
Asymmetric unit:
1 Si 0.1482 0.2500 0.0155
2 Sn 0.4774 0.7500 0.1663
3 I 0.2290 0.7500 0.6525

Formation energy (no corrections), meV/atom: 33.7
Crystal system: monoclinic
Final energy, eV/cell: -21.75


Record 8
## Si2SnI (PBE)

Data for a relaxed Si2SnI crystal.

Lattice parameters (Å, degrees): 7.1882 7.1882 7.1882 90.00 90.00 90.00
Space group Fm-3m (No. 225)
Asymmetric unit:
1 Si 0.2500 0.2500 0.2500
2 Sn 0.0000 0.0000 0.0000
3 I 0.0000 0.0000 0.5000

Offset from the most stable computed form, eV per atom: 0.023
Formation energy (no corrections), meV/atom: 744.0
Crystal system: cubic
Final energy, eV/cell: -53.69


Record 9
## SiSnTeI2 (PBE)

Data for a relaxed SiSnTeI2 crystal.

Lattice parameters (Å, degrees): 5.8847 5.8847 5.9048 90.00 90.00 90.00
Space group P4/mmm (No. 123)
Asymmetric unit:
1 Si 0.0000 0.0000 0.0000
2 Sn 0.5000 0.5000 0.5000
3 Te 0.5000 0.5000 0.0000
4 I 0.0000 0.5000 0.5000

Offset from the most stable computed form, eV per atom: 0.410
Formation energy (no corrections), meV/atom: 616.7
Crystal system: tetragonal
Final energy, eV/cell: -12.58


Record 10
## SiSnTe2I (PBE)

Data for a relaxed SiSnTe2I crystal.

Lattice parameters (Å, degrees): 5.3598 5.3598 5.5142 90.00 90.00 90.00
Space group P4/mmm (No. 123)
Asymmetric unit:
1 Si 0.0000 0.0000 0.0000
2 Sn 0.5000 0.5000 0.5000
3 Te 0.0000 0.5000 0.0000
4 I 0.0000 0.0000 0.5000

Offset from the most stable computed form, eV per atom: 0.000
Formation energy (no corrections), meV/atom: 241.2
Crystal system: tetragonal
Final energy, eV/cell: -16.05


Record 11
## SiSnTe2I (PBE)

Data for a relaxed SiSnTe2I crystal.

Lattice parameters (Å, degrees): 5.7400 5.7400 5.7935 90.00 90.00 90.00
Space group P4/mmm (No. 123)
Asymmetric unit:
1 Si 0.0000 0.0000 0.0000
2 Sn 0.5000 0.5000 0.5000
3 Te 0.0000 0.5000 0.5000
4 I 0.5000 0.5000 0.0000

Offset from the most stable computed form, eV per atom: 0.498
Formation energy (no corrections), meV/atom: 739.0
Crystal system: tetragonal
Final energy, eV/cell: -13.56


Record 12
## SiSnTeI2 (PBE)

Data for a relaxed SiSnTeI2 crystal.

Lattice parameters (Å, degrees): 5.4420 5.4420 5.6271 90.00 90.00 90.00
Space group P4/mmm (No. 123)
Asymmetric unit:
1 Si 0.0000 0.0000 0.0000
2 Sn 0.5000 0.5000 0.5000
3 Te 0.0000 0.0000 0.5000
4 I 0.0000 0.5000 0.0000

Offset from the most stable computed form, eV per atom: 0.000
Formation energy (no corrections), meV/atom: 206.8
Crystal system: tetragonal
Final energy, eV/cell: -14.63